# Li2PmPb | the Alexandria database | GGA-PBE | relaxed
# Calculated total energy in eV for the cell shown: -13.6
# Total magnetization in μB per cell: 0.00
# Calculated formation energy in eV/atom: -0.3357
data_Li2PmPb
_chemical_formula_sum 'Li2 Pm1 Pb1'
_cell_length_a 4.935
_cell_length_b 4.935
_cell_length_c 4.935
_cell_angle_alpha 60.00
_cell_angle_beta 60.00
_cell_angle_gamma 60.00
_symmetry_space_group_name_H-M 'P 1'
_symmetry_Int_Tables_number 1
loop_
_symmetry_equiv_pos_as_xyz
'x,y,z'
loop_
_atom_site_label
_atom_site_type_symbol
_atom_site_fract_x
_atom_site_fract_y
_atom_site_fract_z
Li1 Li 0.500 0.500 0.500
Li2 Li 0.000 0.000 0.000
Pb1 Pb 0.750 0.750 0.750
Pm1 Pm 0.250 0.250 0.250

=====

# LaIn2As | the Alexandria database | GGA-PBE | relaxed
# Calculated total energy in eV for the cell shown: -17.4
# Total magnetization in μB per cell: 0.00
# Calculated formation energy in eV/atom: -0.5951
data_LaIn2As
_chemical_formula_sum 'La1 In2 As1'
_cell_length_a 4.112
_cell_length_b 4.537
_cell_length_c 6.393
_cell_angle_alpha 69.07
_cell_angle_beta 90.00
_cell_angle_gamma 90.00
_symmetry_space_group_name_H-M 'P 1'
_symmetry_Int_Tables_number 1
loop_
_symmetry_equiv_pos_as_xyz
'x,y,z'
loop_
_atom_site_label
_atom_site_type_symbol
_atom_site_fract_x
_atom_site_fract_y
_atom_site_fract_z
La1 La 0.000 0.505 0.618
In1 In 0.000 0.785 0.053
In2 In 0.500 0.222 0.178
As1 As 0.500 0.989 0.651

=====

# Pr6Sm8Cd | the Alexandria database | GGA-PBE | relaxed
# Calculated total energy in eV for the cell shown: -66.2
# Total magnetization in μB per cell: 0.00
# Calculated formation energy in eV/atom: 0.0736
data_Pr6Sm8Cd
_chemical_formula_sum 'Pr6 Sm8 Cd1'
_cell_length_a 6.505
_cell_length_b 9.600
_cell_length_c 9.600
_cell_angle_alpha 120.00
_cell_angle_beta 90.00
_cell_angle_gamma 90.00
_symmetry_space_group_name_H-M 'P 1'
_symmetry_Int_Tables_number 1
loop_
_symmetry_equiv_pos_as_xyz
'x,y,z'
loop_
_atom_site_label
_atom_site_type_symbol
_atom_site_fract_x
_atom_site_fract_y
_atom_site_fract_z
Sm1 Sm 0.812 0.222 0.959
Sm2 Sm 0.188 0.263 0.222
Sm3 Sm 0.812 0.737 0.778
Sm4 Sm 0.838 0.333 0.667
Sm5 Sm 0.812 0.041 0.263
Sm6 Sm 0.188 0.959 0.737
Sm7 Sm 0.188 0.778 0.041
Sm8 Sm 0.162 0.667 0.333
Pr1 Pr 0.682 0.641 0.092
Pr2 Pr 0.318 0.549 0.641
Pr3 Pr 0.318 0.359 0.908
Pr4 Pr 0.682 0.908 0.549
Pr5 Pr 0.318 0.092 0.451
Pr6 Pr 0.682 0.451 0.359
Cd1 Cd 0.500 0.000 0.000

=====

# Rb3IrF7 | the Alexandria database | GGA-PBE | relaxed
# Calculated total energy in eV for the cell shown: -49.5
# Total magnetization in μB per cell: 1.01
# ΔE_f (raw) in meV/atom: -2240
data_Rb3IrF7
_chemical_formula_sum 'Rb3 Ir1 F7'
_cell_length_a 5.945
_cell_length_b 5.945
_cell_length_c 7.154
_cell_angle_alpha 73.09
_cell_angle_beta 73.09
_cell_angle_gamma 90.28
_symmetry_space_group_name_H-M 'P 1'
_symmetry_Int_Tables_number 1
loop_
_symmetry_equiv_pos_as_xyz
'x,y,z'
loop_
_atom_site_label
_atom_site_type_symbol
_atom_site_fract_x
_atom_site_fract_y
_atom_site_fract_z
Rb1 Rb 0.513 0.513 0.010
Rb2 Rb 0.812 0.279 0.477
Rb3 Rb 0.279 0.812 0.477
F1 F 0.145 0.145 0.158
F2 F 0.334 0.989 0.809
F3 F 0.989 0.334 0.809
F4 F 0.885 0.885 0.802
F5 F 0.420 0.420 0.402
F6 F 0.032 0.700 0.163
F7 F 0.700 0.032 0.163
Ir1 Ir 0.016 0.016 0.981

=====

# Sm3ZrS6 | the Alexandria database | GGA-PBE | relaxed
# Calculated total energy in eV for the cell shown: -132.8
# Total magnetization in μB per cell: 0.00
# ΔE_f (raw) in meV/atom: -1893
data_Sm3ZrS6
_chemical_formula_sum 'Sm6 Zr2 S12'
_cell_length_a 7.962
_cell_length_b 7.962
_cell_length_c 7.962
_cell_angle_alpha 98.25
_cell_angle_beta 98.25
_cell_angle_gamma 98.25
_symmetry_space_group_name_H-M 'P 1'
_symmetry_Int_Tables_number 1
loop_
_symmetry_equiv_pos_as_xyz
'x,y,z'
loop_
_atom_site_label
_atom_site_type_symbol
_atom_site_fract_x
_atom_site_fract_y
_atom_site_fract_z
S1 S 0.067 0.317 0.965
S2 S 0.427 0.190 0.569
S3 S 0.317 0.965 0.067
S4 S 0.965 0.067 0.317
S5 S 0.683 0.035 0.933
S6 S 0.569 0.427 0.190
S7 S 0.810 0.431 0.573
S8 S 0.573 0.810 0.431
S9 S 0.035 0.933 0.683
S10 S 0.431 0.573 0.810
S11 S 0.933 0.683 0.035
S12 S 0.190 0.569 0.427
Sm1 Sm 0.374 0.883 0.706
Sm2 Sm 0.883 0.706 0.374
Sm3 Sm 0.706 0.374 0.883
Sm4 Sm 0.294 0.626 0.117
Sm5 Sm 0.117 0.294 0.626
Sm6 Sm 0.626 0.117 0.294
Zr1 Zr 0.000 0.000 0.000
Zr2 Zr 0.500 0.500 0.500

=====

# MnGa4Co2 | the Alexandria database | GGA-PBE | relaxed
# Calculated total energy in eV for the cell shown: -37.1
# Total magnetization in μB per cell: 2.39
# Calculated formation energy in eV/atom: -0.2315
data_MnGa4Co2
_chemical_formula_sum 'Mn1 Ga4 Co2'
_cell_length_a 4.017
_cell_length_b 4.017
_cell_length_c 5.912
_cell_angle_alpha 90.00
_cell_angle_beta 90.00
_cell_angle_gamma 90.00
_symmetry_space_group_name_H-M 'P 1'
_symmetry_Int_Tables_number 1
loop_
_symmetry_equiv_pos_as_xyz
'x,y,z'
loop_
_atom_site_label
_atom_site_type_symbol
_atom_site_fract_x
_atom_site_fract_y
_atom_site_fract_z
Ga1 Ga 0.000 0.500 0.269
Ga2 Ga 0.500 0.000 0.731
Ga3 Ga 0.000 0.500 0.731
Ga4 Ga 0.500 0.000 0.269
Co1 Co 0.500 0.500 0.500
Co2 Co 0.000 0.000 0.000
Mn1 Mn 0.500 0.500 0.000

=====

# Pm2MgSe4 | the Alexandria database | GGA-PBE | relaxed
# Calculated total energy in eV for the cell shown: -73.5
# Total magnetization in μB per cell: 0.00
# ΔE_f (raw) in meV/atom: -1671
data_Pm2MgSe4
_chemical_formula_sum 'Pm4 Mg2 Se8'
_cell_length_a 8.432
_cell_length_b 8.432
_cell_length_c 8.432
_cell_angle_alpha 60.00
_cell_angle_beta 60.00
_cell_angle_gamma 60.00
_symmetry_space_group_name_H-M 'P 1'
_symmetry_Int_Tables_number 1
loop_
_symmetry_equiv_pos_as_xyz
'x,y,z'
loop_
_atom_site_label
_atom_site_type_symbol
_atom_site_fract_x
_atom_site_fract_y
_atom_site_fract_z
Se1 Se 0.384 0.872 0.872
Se2 Se 0.872 0.384 0.872
Se3 Se 0.872 0.872 0.872
Se4 Se 0.872 0.872 0.384
Se5 Se 0.378 0.866 0.378
Se6 Se 0.378 0.378 0.378
Se7 Se 0.866 0.378 0.378
Se8 Se 0.378 0.378 0.866
Pm1 Pm 0.625 0.625 0.625
Pm2 Pm 0.125 0.625 0.625
Pm3 Pm 0.625 0.125 0.625
Pm4 Pm 0.625 0.625 0.125
Mg1 Mg 0.250 0.250 0.250
Mg2 Mg 0.000 0.000 0.000

=====

# Mg2Zn | the Alexandria database | GGA-PBE | relaxed
# Calculated total energy in eV for the cell shown: -9.4
# Total magnetization in μB per cell: 0.00
# Calculated formation energy in eV/atom: -0.0759
data_Mg2Zn
_chemical_formula_sum 'Mg4 Zn2'
_cell_length_a 5.456
_cell_length_b 5.456
_cell_length_c 5.193
_cell_angle_alpha 61.59
_cell_angle_beta 61.59
_cell_angle_gamma 77.49
_symmetry_space_group_name_H-M 'P 1'
_symmetry_Int_Tables_number 1
loop_
_symmetry_equiv_pos_as_xyz
'x,y,z'
loop_
_atom_site_label
_atom_site_type_symbol
_atom_site_fract_x
_atom_site_fract_y
_atom_site_fract_z
Zn1 Zn 0.000 0.000 0.750
Zn2 Zn 0.000 0.000 0.250
Mg1 Mg 0.816 0.498 0.343
Mg2 Mg 0.498 0.816 0.843
Mg3 Mg 0.502 0.184 0.157
Mg4 Mg 0.184 0.502 0.657

=====

# Nd3Zr5Tl12 | the Alexandria database | GGA-PBE | relaxed
# Calculated total energy in eV for the cell shown: -299.6
# Total magnetization in μB per cell: 0.00
# Calculated formation energy in eV/atom: 0.5276
data_Nd3Zr5Tl12
_chemical_formula_sum 'Nd12 Zr20 Tl48'
_cell_length_a 15.212
_cell_length_b 15.212
_cell_length_c 15.212
_cell_angle_alpha 109.47
_cell_angle_beta 109.47
_cell_angle_gamma 109.47
_symmetry_space_group_name_H-M 'P 1'
_symmetry_Int_Tables_number 1
loop_
_symmetry_equiv_pos_as_xyz
'x,y,z'
loop_
_atom_site_label
_atom_site_type_symbol
_atom_site_fract_x
_atom_site_fract_y
_atom_site_fract_z
Tl1 Tl 0.871 0.591 0.924
Tl2 Tl 0.053 0.629 0.720
Tl3 Tl 0.091 0.167 0.220
Tl4 Tl 0.409 0.280 0.333
Tl5 Tl 0.720 0.591 0.167
Tl6 Tl 0.780 0.333 0.909
Tl7 Tl 0.667 0.220 0.591
Tl8 Tl 0.280 0.871 0.947
Tl9 Tl 0.076 0.167 0.447
Tl10 Tl 0.780 0.447 0.371
Tl11 Tl 0.924 0.833 0.553
Tl12 Tl 0.909 0.076 0.629
Tl13 Tl 0.076 0.909 0.129
Tl14 Tl 0.280 0.409 0.833
Tl15 Tl 0.553 0.333 0.924
Tl16 Tl 0.667 0.447 0.576
Tl17 Tl 0.424 0.053 0.333
Tl18 Tl 0.447 0.780 0.871
Tl19 Tl 0.220 0.667 0.091
Tl20 Tl 0.129 0.409 0.076
Tl21 Tl 0.947 0.371 0.280
Tl22 Tl 0.409 0.129 0.576
Tl23 Tl 0.909 0.833 0.780
Tl24 Tl 0.629 0.576 0.909
Tl25 Tl 0.591 0.871 0.424
Tl26 Tl 0.720 0.129 0.053
Tl27 Tl 0.053 0.424 0.833
Tl28 Tl 0.833 0.924 0.053
Tl29 Tl 0.091 0.924 0.371
Tl30 Tl 0.591 0.720 0.667
Tl31 Tl 0.167 0.091 0.720
Tl32 Tl 0.447 0.667 0.076
Tl33 Tl 0.424 0.371 0.591
Tl34 Tl 0.553 0.220 0.129
Tl35 Tl 0.576 0.629 0.409
Tl36 Tl 0.947 0.576 0.167
Tl37 Tl 0.576 0.947 0.667
Tl38 Tl 0.333 0.780 0.409
Tl39 Tl 0.167 0.076 0.947
Tl40 Tl 0.220 0.553 0.629
Tl41 Tl 0.371 0.947 0.780
Tl42 Tl 0.833 0.909 0.280
Tl43 Tl 0.924 0.091 0.871
Tl44 Tl 0.871 0.280 0.447
Tl45 Tl 0.629 0.053 0.220
Tl46 Tl 0.129 0.720 0.553
Tl47 Tl 0.333 0.553 0.424
Tl48 Tl 0.371 0.424 0.091
Nd1 Nd 0.875 0.125 0.250
Nd2 Nd 0.125 0.250 0.875
Nd3 Nd 0.375 0.750 0.625
Nd4 Nd 0.250 0.125 0.375
Nd5 Nd 0.250 0.625 0.875
Nd6 Nd 0.375 0.625 0.250
Nd7 Nd 0.750 0.375 0.125
Nd8 Nd 0.875 0.750 0.125
Nd9 Nd 0.625 0.250 0.375
Nd10 Nd 0.125 0.875 0.750
Nd11 Nd 0.625 0.375 0.750
Nd12 Nd 0.750 0.875 0.625
Zr1 Zr 0.500 0.500 0.000
Zr2 Zr 0.000 0.000 0.000
Zr3 Zr 0.750 0.125 0.875
Zr4 Zr 0.500 0.500 0.500
Zr5 Zr 0.750 0.625 0.375
Zr6 Zr 0.875 0.250 0.625
Zr7 Zr 0.500 0.000 0.000
Zr8 Zr 0.625 0.750 0.875
Zr9 Zr 0.500 0.000 0.500
Zr10 Zr 0.625 0.875 0.250
Zr11 Zr 0.875 0.625 0.750
Zr12 Zr 0.125 0.750 0.375
Zr13 Zr 0.250 0.375 0.625
Zr14 Zr 0.000 0.000 0.500
Zr15 Zr 0.375 0.250 0.125
Zr16 Zr 0.250 0.875 0.125
Zr17 Zr 0.125 0.375 0.250
Zr18 Zr 0.000 0.500 0.500
Zr19 Zr 0.375 0.125 0.750
Zr20 Zr 0.000 0.500 0.000

=====

# LiPm2ThTe4 | the Alexandria database | GGA-PBE | relaxed
# Calculated total energy in eV for the cell shown: -41.5
# Total magnetization in μB per cell: 0.00
# ΔE_f (raw) in meV/atom: -1262
data_LiPm2ThTe4
_chemical_formula_sum 'Li1 Pm2 Th1 Te4'
_cell_length_a 4.404
_cell_length_b 7.739
_cell_length_c 7.624
_cell_angle_alpha 108.99
_cell_angle_beta 90.00
_cell_angle_gamma 90.00
_symmetry_space_group_name_H-M 'P 1'
_symmetry_Int_Tables_number 1
loop_
_symmetry_equiv_pos_as_xyz
'x,y,z'
loop_
_atom_site_label
_atom_site_type_symbol
_atom_site_fract_x
_atom_site_fract_y
_atom_site_fract_z
Li1 Li 0.500 0.500 0.000
Th1 Th 0.000 0.000 0.000
Te1 Te 0.000 0.262 0.762
Te2 Te 0.500 0.260 0.243
Te3 Te 0.000 0.738 0.238
Te4 Te 0.500 0.740 0.757
Pm1 Pm 0.500 0.000 0.500
Pm2 Pm 0.000 0.500 0.500

=====

# Pr5Se4 | the Alexandria database | GGA-PBE | relaxed
# Calculated total energy in eV for the cell shown: -101.7
# Total magnetization in μB per cell: 0.00
# ΔE_f (raw) in meV/atom: -1448
data_Pr5Se4
_chemical_formula_sum 'Pr10 Se8'
_cell_length_a 9.030
_cell_length_b 9.030
_cell_length_c 6.659
_cell_angle_alpha 90.00
_cell_angle_beta 90.00
_cell_angle_gamma 120.00
_symmetry_space_group_name_H-M 'P 1'
_symmetry_Int_Tables_number 1
loop_
_symmetry_equiv_pos_as_xyz
'x,y,z'
loop_
_atom_site_label
_atom_site_type_symbol
_atom_site_fract_x
_atom_site_fract_y
_atom_site_fract_z
Se1 Se 0.000 0.000 0.000
Se2 Se 0.000 0.612 0.250
Se3 Se 0.388 0.388 0.250
Se4 Se 0.000 0.000 0.500
Se5 Se 0.612 0.612 0.750
Se6 Se 0.612 0.000 0.250
Se7 Se 0.000 0.388 0.750
Se8 Se 0.388 0.000 0.750
Pr1 Pr 0.333 0.667 0.000
Pr2 Pr 0.000 0.729 0.750
Pr3 Pr 0.729 0.729 0.250
Pr4 Pr 0.333 0.667 0.500
Pr5 Pr 0.271 0.000 0.250
Pr6 Pr 0.667 0.333 0.000
Pr7 Pr 0.000 0.271 0.250
Pr8 Pr 0.271 0.271 0.750
Pr9 Pr 0.667 0.333 0.500
Pr10 Pr 0.729 0.000 0.750

=====

# Al2ReAs | the Alexandria database | GGA-PBE | relaxed
# Calculated total energy in eV for the cell shown: -23.8
# Total magnetization in μB per cell: 0.00
# Calculated formation energy in eV/atom: 0.2010
data_Al2ReAs
_chemical_formula_sum 'Al2 Re1 As1'
_cell_length_a 4.870
_cell_length_b 4.870
_cell_length_c 4.870
_cell_angle_alpha 133.15
_cell_angle_beta 133.15
_cell_angle_gamma 68.43
_symmetry_space_group_name_H-M 'P 1'
_symmetry_Int_Tables_number 1
loop_
_symmetry_equiv_pos_as_xyz
'x,y,z'
loop_
_atom_site_label
_atom_site_type_symbol
_atom_site_fract_x
_atom_site_fract_y
_atom_site_fract_z
Re1 Re 0.750 0.250 0.500
Al1 Al 0.500 0.500 0.000
Al2 Al 0.000 0.000 0.000
As1 As 0.250 0.750 0.500

=====

Question: Which value of total magnetization does entry 12 give?
Answer: 0.00 μB per cell